{
  "formula": "LiMgCd6",
  "functional": "GGA-PBE",
  "state": "optimized geometry",
  "crystal_system": "hexagonal",
  "space_group": "P-6m2 (187)",
  "final_energy_ev_per_atom": -1.244,
  "cell": [[6.2062, 0.0000, 0.0000], [-3.1031, 5.3747, 0.0000], [0.0000, 0.0000, 4.9532]],
  "species": ["Li", "Mg", "Cd", "Cd", "Cd", "Cd", "Cd", "Cd"],
  "fractional_positions": [[0.0000, 0.0000, 0.0000], [0.3333, 0.6667, 0.5000], [0.0006, 0.5003, 0.0000], [0.3260, 0.1630, 0.5000], [0.4997, 0.5003, 0.0000], [0.4997, 0.9994, 0.0000], [0.8370, 0.1630, 0.5000], [0.8370, 0.6740, 0.5000]]
}